1.
The following is a PBE calculation of a geometry-optimized PrGa2GeIr structure, from Alexandria.

a = 6.2932 Å, b = 6.2932 Å, c = 6.2932 Å
α = 142.00°, β = 141.37°, γ = 55.31°
Closest atoms and distances in Å follow each position.
Element x y z (fractional)
1 Pr 0.0000 0.0000 0.0000  4 Ge 3.17, 8 Ga 3.20-3.50, 4 Ir 3.40-3.54
2 Ga 0.3822 0.3822 0.0000  2 Ga 2.53, 1 Ge 2.55, 2 Ir 2.57
3 Ga 0.7527 0.2527 0.5000  2 Ga 2.53, 2 Ge 2.59
4 Ge 0.6107 0.6107 0.0000  3 Ga 2.55-2.59, 2 Ir 2.55
5 Ir 0.2433 0.7433 0.5000  2 Ge 2.55, 2 Ga 2.57

Calculated values
As for the formation energy: -565 meV/atom. The symmetry is Imm2, No. 44.

2.
The following is a PBE calculation of a geometry-optimized GaGeIr2Pt structure, from Alexandria.

a = 4.6038 Å, b = 4.6038 Å, c = 4.6069 Å
α = 90.00°, β = 90.00°, γ = 90.00°
Closest atoms and distances in Å follow each position.
Element x y z (fractional)
1 Ga 0.0000 0.0000 0.0000  4 Ir 2.30, 2 Pt 2.30
2 Ge 0.5000 0.5000 0.5000  4 Pt 3.26, 8 Ir 3.26
3 Ir 0.0000 0.5000 0.0000  2 Ga 2.30
4 Ir 0.5000 0.0000 0.0000  2 Ga 2.30
5 Pt 0.0000 0.0000 0.5000  2 Ga 2.30

Calculated values
As for the formation energy: 1018 meV/atom. The symmetry is P4/mmm, No. 123.

3.
The following is a PBE calculation of a geometry-optimized Pu2Ga3GeIr4 structure, from Alexandria.

a = 4.2632 Å, b = 4.2632 Å, c = 10.1857 Å
α = 90.00°, β = 90.00°, γ = 90.00°
Closest atoms and distances in Å follow each position.
Element x y z (fractional)
1 Pu 0.0000 0.5000 0.2394  6 Ga 3.22-3.40, 8 Ir 3.24-3.30, 2 Ge 3.40
2 Pu 0.5000 0.0000 0.7606  6 Ga 3.22-3.40, 8 Ir 3.24-3.30, 2 Ge 3.40
3 Ga 0.0000 0.5000 0.8706  5 Ir 2.46-2.51
4 Ga 0.5000 0.0000 0.1294  5 Ir 2.46-2.51
5 Ga 0.5000 0.5000 0.5000  4 Ir 2.50
6 Ge 0.0000 0.0000 0.5000  4 Ir 2.50
7 Ir 0.0000 0.0000 0.0000  4 Ga 2.51
8 Ir 0.0000 0.5000 0.6292  3 Ga 2.46-2.50, 2 Ge 2.50
9 Ir 0.5000 0.0000 0.3708  3 Ga 2.46-2.50, 2 Ge 2.50
10 Ir 0.5000 0.5000 0.0000  4 Ga 2.51

Calculated values
As for the formation energy: -516 meV/atom. The symmetry is P-4m2, No. 115.

4.
The following is a PBE calculation of a geometry-optimized RbGa2GeIr structure, from Alexandria.

a = 4.8379 Å, b = 4.8379 Å, c = 6.2933 Å
α = 90.00°, β = 90.00°, γ = 90.00°
Closest atoms and distances in Å follow each position.
Element x y z (fractional)
1 Rb 0.0000 0.0000 0.0000  2 Ir 3.15, 4 Ge 3.42
2 Ga 0.0000 0.5000 0.5000  2 Ir 2.42
3 Ga 0.5000 0.0000 0.5000  2 Ir 2.42
4 Ge 0.5000 0.5000 0.0000  4 Rb 3.42
5 Ir 0.0000 0.0000 0.5000  4 Ga 2.42

Calculated values
As for the formation energy: 446 meV/atom. The symmetry is P4/mmm, No. 123.

5.
The following is a PBE calculation of a geometry-optimized GaGeIrRh2 structure, from Alexandria.

a = 4.4567 Å, b = 4.4567 Å, c = 4.6063 Å
α = 90.00°, β = 90.00°, γ = 90.00°
Closest atoms and distances in Å follow each position.
Element x y z (fractional)
1 Ga 0.0000 0.0000 0.0000  2 Ge 2.30
2 Ge 0.0000 0.0000 0.5000  4 Rh 2.23, 2 Ga 2.30
3 Ir 0.5000 0.5000 0.0000  4 Ga 3.15, 8 Rh 3.20
4 Rh 0.0000 0.5000 0.5000  2 Ge 2.23
5 Rh 0.5000 0.0000 0.5000  2 Ge 2.23

Calculated values
As for the formation energy: 996 meV/atom. The symmetry is P4/mmm, No. 123.

6.
The following is a PBE calculation of a geometry-optimized Sc2GaGe2Ir5 structure, from Alexandria.

a = 9.4551 Å, b = 9.4551 Å, c = 3.5936 Å
α = 90.00°, β = 90.00°, γ = 90.00°
Closest atoms and distances in Å follow each position.
Element x y z (fractional)
1 Sc 0.1717 0.3283 0.0000  3 Ge 2.67-2.87, 2 Ir 2.92
2 Sc 0.3283 0.8283 0.0000  3 Ge 2.67-2.87, 2 Ir 2.92
3 Sc 0.6717 0.1717 0.0000  3 Ge 2.67-2.87, 2 Ir 2.92
4 Sc 0.8283 0.6717 0.0000  3 Ge 2.67-2.87, 2 Ir 2.92
5 Ga 0.0000 0.0000 0.0000  8 Ir 2.70
6 Ga 0.5000 0.5000 0.0000  8 Ir 2.70
7 Ge 0.1286 0.6286 0.0000  6 Ir 2.48-2.49, 1 Sc 2.67
8 Ge 0.3714 0.1286 0.0000  6 Ir 2.48-2.49, 1 Sc 2.67
9 Ge 0.6286 0.8714 0.0000  6 Ir 2.48-2.49, 1 Sc 2.67
10 Ge 0.8714 0.3714 0.0000  6 Ir 2.48-2.49, 1 Sc 2.67
11 Ir 0.0000 0.5000 0.5000  4 Ge 2.49
12 Ir 0.0667 0.7977 0.5000  2 Ge 2.48, 2 Ga 2.70
13 Ir 0.2023 0.0667 0.5000  2 Ge 2.48, 2 Ga 2.70
14 Ir 0.2977 0.5667 0.5000  2 Ge 2.48, 2 Ga 2.70
15 Ir 0.4333 0.2977 0.5000  2 Ge 2.48, 2 Ga 2.70
16 Ir 0.5000 0.0000 0.5000  4 Ge 2.49
17 Ir 0.5667 0.7023 0.5000  2 Ge 2.48, 2 Ga 2.70
18 Ir 0.7023 0.4333 0.5000  2 Ge 2.48, 2 Ga 2.70
19 Ir 0.7977 0.9333 0.5000  2 Ge 2.48, 2 Ga 2.70
20 Ir 0.9333 0.2023 0.5000  2 Ge 2.48, 2 Ga 2.70

Calculated values
As for the formation energy: -619 meV/atom. The symmetry is P4/mbm, No. 127.

| no. | E_tot (Ha/atom) | volume (Å³ per atom) |
| --- | --- | --- |
| 1 | -0.1995 | 19.022 |
| 2 | -0.1934 | 19.528 |
| 3 | -0.3049 | 18.512 |
| 4 | -0.1343 | 29.459 |
| 5 | -0.1928 | 18.298 |
| 6 | -0.2772 | 16.063 |